LaCe2Ga2Ag2: optimized geometry, PBE.

It has space group R-3m (No. 166, hexagonal axes), with a = 4.5531 Å, b = 4.5531 Å, c = 27.5079 Å, α = 90.00°, β = 90.00° and γ = 120.00°. The distinct sites, in fractional coordinates, are La at (0.0000, 0.0000, 0.0000), Ce at (0.0000, 0.0000, 0.1420), Ga at (0.0000, 0.0000, 0.2582) and Ag at (0.0000, 0.0000, 0.4117).

As for the raw total energy: -31.2 eV per formula unit. As for the total magnetization: 1.00 μB/f.u. The volume comes out at 23.52 Å³/atom.